Entry 1:
LiTm6Ni | GGA-PBE | optimized geometry

Calculated values
- raw total energy (eV per atom) = -4.17
- DFT formation energy (eV per atom) = 0.1406
- theoretical density (kg/m³) = 7888
- DOS(E_F) (states/eV/atom) = 1.722
- symmetry = P-1, No. 2

CIF file:
```
data_LiTm6Ni
_symmetry_space_group_name_H-M 'P 1'
_symmetry_Int_Tables_number 1
_cell_length_a 6.717
_cell_length_b 6.721
_cell_length_c 6.984
_cell_angle_alpha 61.27
_cell_angle_beta 61.31
_cell_angle_gamma 60.00
loop_
_symmetry_equiv_pos_as_xyz
'x,y,z'
loop_
_atom_site_label
_atom_site_type_symbol
_atom_site_fract_x
_atom_site_fract_y
_atom_site_fract_z
Tm1 Tm 0.576 0.219 0.244
Tm2 Tm 0.780 0.040 0.756
Tm3 Tm 0.424 0.781 0.756
Tm4 Tm 0.960 0.576 0.244
Tm5 Tm 0.220 0.960 0.244
Tm6 Tm 0.040 0.424 0.756
Li1 Li 0.500 0.500 0.500
Ni1 Ni 0.000 0.000 0.000
```

Entry 2:
Na3MgSc3Te8 | GGA-PBE | optimized geometry

Calculated values
- formation energy from raw total energies (eV/atom) = -0.989
- raw total energy (eV per atom) = -4.30
- theoretical density (kg/m³) = 4519
- DOS(E_F) (states/eV/atom) = 0.617
- symmetry = P-1, No. 2

CIF file:
```
data_Na3MgSc3Te8
_symmetry_space_group_name_H-M 'P 1'
_symmetry_Int_Tables_number 1
_cell_length_a 8.254
_cell_length_b 8.255
_cell_length_c 9.133
_cell_angle_alpha 116.64
_cell_angle_beta 89.92
_cell_angle_gamma 120.37
loop_
_symmetry_equiv_pos_as_xyz
'x,y,z'
loop_
_atom_site_label
_atom_site_type_symbol
_atom_site_fract_x
_atom_site_fract_y
_atom_site_fract_z
Sc1 Sc 0.000 0.500 0.500
Sc2 Sc 0.500 0.000 0.500
Sc3 Sc 0.500 0.500 0.500
Te1 Te 0.741 0.482 0.721
Te2 Te 0.730 0.977 0.723
Te3 Te 0.246 0.976 0.722
Te4 Te 0.270 0.023 0.277
Te5 Te 0.754 0.024 0.278
Te6 Te 0.259 0.518 0.279
Te7 Te 0.754 0.508 0.278
Te8 Te 0.246 0.492 0.722
Na1 Na 0.500 0.500 0.000
Na2 Na 0.000 0.500 0.000
Na3 Na 0.000 0.000 0.000
Mg1 Mg 0.000 0.000 0.500
```

Entry 3:
AcPr5ErTm2 | GGA-PBE | optimized geometry

Calculated values
- raw total energy (eV per atom) = -4.47
- DFT formation energy (eV per atom) = 0.1457
- theoretical density (kg/m³) = 7310
- DOS(E_F) (states/eV/atom) = 1.293
- symmetry = Cmc2_1, No. 36

CIF file:
```
data_AcPr5ErTm2
_symmetry_space_group_name_H-M 'P 1'
_symmetry_Int_Tables_number 1
_cell_length_a 5.567
_cell_length_b 12.587
_cell_length_c 9.551
_cell_angle_alpha 90.00
_cell_angle_beta 90.00
_cell_angle_gamma 102.78
loop_
_symmetry_equiv_pos_as_xyz
'x,y,z'
loop_
_atom_site_label
_atom_site_type_symbol
_atom_site_fract_x
_atom_site_fract_y
_atom_site_fract_z
Pr1 Pr 0.259 0.518 0.357
Pr2 Pr 0.741 0.482 0.857
Pr3 Pr 0.608 0.216 0.532
Pr4 Pr 0.475 0.950 0.756
Pr5 Pr 0.392 0.784 0.032
Pr6 Pr 0.989 0.979 0.042
Pr7 Pr 0.011 0.021 0.542
Pr8 Pr 0.525 0.050 0.256
Pr9 Pr 0.689 0.378 0.221
Pr10 Pr 0.311 0.622 0.721
Ac1 Ac 0.397 0.795 0.425
Ac2 Ac 0.603 0.205 0.925
Tm1 Tm 0.176 0.351 0.672
Tm2 Tm 0.888 0.776 0.787
Tm3 Tm 0.824 0.649 0.172
Tm4 Tm 0.112 0.224 0.287
Er1 Er 0.765 0.530 0.532
Er2 Er 0.235 0.470 0.032
```

Entry 4:
GaTeBrN2 | GGA-PBE | optimized geometry

Calculated values
- formation energy from raw total energies (eV/atom) = 1.868
- raw total energy (eV per atom) = -3.03
- theoretical density (kg/m³) = 3956
- excess energy over the best structure of this formula in the dataset (eV/atom) = 0.6078
- DOS(E_F) (states/eV/atom) = 0.468
- symmetry = P4/mmm, No. 123

CIF file:
```
data_GaTeBrN2
_symmetry_space_group_name_H-M 'P 1'
_symmetry_Int_Tables_number 1
_cell_length_a 3.984
_cell_length_b 3.984
_cell_length_c 8.072
_cell_angle_alpha 90.00
_cell_angle_beta 90.00
_cell_angle_gamma 90.00
loop_
_symmetry_equiv_pos_as_xyz
'x,y,z'
loop_
_atom_site_label
_atom_site_type_symbol
_atom_site_fract_x
_atom_site_fract_y
_atom_site_fract_z
Br1 Br 0.000 0.000 0.000
Te1 Te 0.000 0.000 0.500
N1 N 0.000 0.500 0.000
N2 N 0.500 0.000 0.000
Ga1 Ga 0.500 0.500 0.500
```

- What is the theoretical density in the fourth record?
  3956 kg/m³

Copy entry 4 word for word.
GaTeBrN2 | GGA-PBE | optimized geometry

Calculated values
- formation energy from raw total energies (eV/atom) = 1.868
- raw total energy (eV per atom) = -3.03
- theoretical density (kg/m³) = 3956
- excess energy over the best structure of this formula in the dataset (eV/atom) = 0.6078
- DOS(E_F) (states/eV/atom) = 0.468
- symmetry = P4/mmm, No. 123

CIF file:
```
data_GaTeBrN2
_symmetry_space_group_name_H-M 'P 1'
_symmetry_Int_Tables_number 1
_cell_length_a 3.984
_cell_length_b 3.984
_cell_length_c 8.072
_cell_angle_alpha 90.00
_cell_angle_beta 90.00
_cell_angle_gamma 90.00
loop_
_symmetry_equiv_pos_as_xyz
'x,y,z'
loop_
_atom_site_label
_atom_site_type_symbol
_atom_site_fract_x
_atom_site_fract_y
_atom_site_fract_z
Br1 Br 0.000 0.000 0.000
Te1 Te 0.000 0.000 0.500
N1 N 0.000 0.500 0.000
N2 N 0.500 0.000 0.000
Ga1 Ga 0.500 0.500 0.500
```

- Which value of DOS(E_F) does entry 1 give?
  1.722 states/eV/atom

- What is the theoretical density in the second record?
  4519 kg/m³